(1)
{"formula": "Y4GeTe3", "functional": "PBE-GGA", "state": "optimized geometry", "e_form_raw_ev_per_atom": -1.26, "spacegroup": "Pm-3m (221)", "lattice": [[6.107, 0.000, 0.000], [0.000, 6.107, 0.000], [0.000, 0.000, 6.107]], "species": ["Y", "Te", "Y", "Y", "Te", "Y", "Te", "Ge"], "fractional_positions": [[0.000, 0.500, 0.000], [0.500, 0.500, 0.000], [0.500, 0.500, 0.500], [0.500, 0.000, 0.000], [0.500, 0.000, 0.500], [0.000, 0.000, 0.500], [0.000, 0.500, 0.500], [0.000, 0.000, 0.000]]}

***

(2)
{"formula": "SrLaCuO4", "functional": "PBE-GGA", "state": "optimized geometry", "e_form_raw_ev_per_atom": -2.23, "spacegroup": "I4mm (107)", "lattice": [[-1.228, 5.908, 3.212], [-2.932, 1.502, 5.990], [4.520, -3.870, -3.365]], "species": ["La", "O", "O", "O", "Sr", "Cu", "O"], "fractional_positions": [[0.360, 0.360, 0.000], [0.173, 0.173, 0.000], [0.494, 0.994, 0.500], [0.994, 0.494, 0.500], [0.640, 0.640, 0.000], [0.002, 0.002, 0.000], [0.836, 0.836, 0.000]]}

***

(3)
{"formula": "PmBH2O4", "functional": "PBE-GGA", "state": "optimized geometry", "total_energy_ev_per_atom": -6.85, "spacegroup": "I222 (23)", "lattice": [[4.012, 0.000, 0.000], [2.006, 4.128, 0.043], [2.006, 0.382, 4.111]], "species": ["O", "O", "O", "H", "H", "O", "B", "Pm"], "fractional_positions": [[0.886, 0.485, 0.221], [0.114, 0.779, 0.515], [0.407, 0.221, 0.485], [0.148, 0.352, 0.352], [0.852, 0.648, 0.648], [0.593, 0.515, 0.779], [0.500, 0.500, 0.500], [0.000, 0.000, 0.000]]}

***

| no. | D(E_F) (states/eV/cell) | calculated volume (Å³ per cell) | theoretical density (g cm⁻³) |
| --- | --- | --- | --- |
| 1 | 3.8 | 227.8 | 5.9 |
| 2 | 1.7 | 94.0 | 6.3 |
| 3 | 0.0 | 68.0 | 5.4 |